Record 1
Entry from the Alexandria database: ZrNi2Pb after structural relaxation (PBE).

SG ... I-4m2, No. 119
Uncorrected energy ... -5.9558 eV/atom
Formation energy ... -0.0010 eV per atom
Magnetic moment ... 0.00 μB per cell

a b c (Å): 5.012 5.012 5.012
angles (deg): 131.95 131.95 70.32
Element x y z (fractional)
Ni1 0.250 0.750 0.500
Ni2 0.000 0.000 0.000
Pb1 0.500 0.500 0.000
Zr1 0.750 0.250 0.500

---

Record 2
Entry from the Alexandria database: VCrSiAu after structural relaxation (PBE).

SG ... Pm, No. 6
Raw formation energy ... -61 meV/atom
Uncorrected energy ... -6.9211 eV/atom
Energy above the most stable polymorph in this dataset ... 0.0 kJ per mole of atoms
Magnetic moment ... 0.01 μB per cell

a b c (Å): 2.735 3.957 5.194
angles (deg): 90.00 95.43 90.00
Element x y z (fractional)
Au1 0.389 0.000 0.220
Si1 0.375 0.000 0.710
Cr1 0.944 0.500 0.523
V1 0.827 0.500 0.940

---

Number 1: N(E_F) 2.85 states/eV/cell. Number 2: N(E_F) 2.96 states/eV/cell.